Entry 1:
Entry from Alexandria via LeMat-Bulk: an optimized crystal structure of K3Dy3ErTe8 (PBE).

For the formation energy (no corrections), the calculation gives -1.318 eV/atom. The value obtained for the total energy is -66.56 eV/cell.

```
15
Lattice="8.764 -0.001 0.000 -4.383 7.595 -0.031 0.000 -5.029 8.540" Properties=species:S:1:pos:R:3 pbc="T T T"
Te 0.000 0.026 6.025
Te 4.382 2.540 2.484
K 0.000 0.000 0.000
Dy -2.191 1.283 4.255
K 2.191 3.797 -0.016
Te 4.382 0.025 6.041
Te 2.192 -1.257 2.499
Te 2.190 3.822 6.009
Er 0.000 -2.514 4.270
Te -2.191 3.823 6.010
Te 0.000 2.541 2.468
Dy 2.191 1.283 4.254
Te 6.572 -1.257 2.499
Dy 4.382 -2.515 4.270
K -2.191 3.798 -0.015
```

***

Entry 2:
Entry from Alexandria via LeMat-Bulk: an optimized crystal structure of Th6TcTe3Os2 (PBE).

For the formation energy (no corrections), the calculation gives -0.757 eV/atom. The value obtained for the total energy is -95.85 eV/cell.

```
12
Lattice="4.194 0.000 0.000 0.000 9.075 -0.141 -2.097 -3.106 9.263" Properties=species:S:1:pos:R:3 pbc="T T T"
Th 0.000 2.044 5.905
Te 0.000 6.523 2.973
Th 2.097 3.925 3.217
Th 2.097 0.037 2.844
Th 2.097 4.027 8.960
Os 0.000 1.991 3.049
Th 0.000 5.932 6.278
Os 2.097 3.978 6.074
Th 0.000 1.942 0.162
Te 2.097 4.538 -0.070
Tc 2.097 0.000 0.000
Te 2.097 -0.555 6.149
```

***

Entry 3:
Entry from Alexandria via LeMat-Bulk: an optimized crystal structure of BeP2PbS (PBE).

For the formation energy (no corrections), the calculation gives 0.420 eV/atom. The value obtained for the total energy is -20.28 eV/cell.

```
5
Lattice="-3.710 -1.816 0.827 0.852 0.137 4.123 -2.670 5.621 0.366" Properties=species:S:1:pos:R:3 pbc="T T T"
P -1.855 -0.908 0.414
S -1.335 2.811 0.183
Pb -2.764 1.971 2.658
P 0.426 0.068 2.061
Be 0.000 0.000 0.000
```

***

Please write out number 3 again, unchanged.
Entry from Alexandria via LeMat-Bulk: an optimized crystal structure of BeP2PbS (PBE).

For the formation energy (no corrections), the calculation gives 0.420 eV/atom. The value obtained for the total energy is -20.28 eV/cell.

```
5
Lattice="-3.710 -1.816 0.827 0.852 0.137 4.123 -2.670 5.621 0.366" Properties=species:S:1:pos:R:3 pbc="T T T"
P -1.855 -0.908 0.414
S -1.335 2.811 0.183
Pb -2.764 1.971 2.658
P 0.426 0.068 2.061
Be 0.000 0.000 0.000
```